Record 1
Here is an optimized crystal structure of SrMgNbIn2 from the Alexandria database. Energies are from PBE.

a = 5.2594 Å, b = 5.7276 Å, c = 5.2594 Å
α = 90.00°, β = 90.00°, γ = 90.00°
Each line ends with the local moment (μB).
Fractional coordinates of all 5 atoms:
Sr 0.0000 0.5000 0.0000  0.04
Nb 0.5000 0.5000 0.5000  2.61
Mg 0.0000 0.0000 0.0000  0.00
In 0.0000 0.0000 0.5000  -0.06
In 0.5000 0.0000 0.0000  -0.05

Calculated values
**Density of states at the Fermi level**: 3.66 states/eV per cell
**Formation enthalpy at 0 K**: 94.4 kJ/mol of atoms
**Uncorrected energy**: -2.79 eV per atom

Record 2
Here is an optimized crystal structure of PrTh2Sc7 from the Alexandria database. Energies are from PBE.

a = 3.3885 Å, b = 7.8411 Å, c = 11.6108 Å
α = 109.73°, β = 90.00°, γ = 90.00°
Fractional coordinates of all 10 atoms:
Pr 0.0000 0.0000 0.0000
Th 0.5000 0.7469 0.4937
Th 0.5000 0.2531 0.5063
Sc 0.0000 0.6204 0.2408
Sc 0.0000 0.3796 0.7592
Sc 0.5000 0.6911 0.7567
Sc 0.5000 0.3089 0.2433
Sc 0.5000 0.9344 0.2433
Sc 0.5000 0.0656 0.7567
Sc 0.5000 0.5000 0.0000

Calculated values
**Density of states at the Fermi level**: 16.35 states/eV per cell
**Formation enthalpy at 0 K**: 37.1 kJ/mol of atoms
**Uncorrected energy**: -6.01 eV per atom

Record 3
Here is an optimized crystal structure of Ca2PtI from the Alexandria database. Energies are from PBE.

a = 4.2633 Å, b = 4.2633 Å, c = 8.1401 Å
α = 74.82°, β = 74.82°, γ = 60.00°
Fractional coordinates of all 4 atoms:
Ca 0.0644 0.0644 0.8068
Ca 0.2694 0.2694 0.1918
Pt 0.6665 0.6665 0.0004
I 0.4997 0.4997 0.5010

Calculated values
**Density of states at the Fermi level**: 1.79 states/eV per cell
**E above lowest polymorph**: 3.4 meV/atom
**Uncorrected energy**: -3.96 eV per atom

Record 4
Here is an optimized crystal structure of Pm2PrSmSc from the Alexandria database. Energies are from PBE.

a = 6.5167 Å, b = 6.5205 Å, c = 8.6453 Å
α = 112.15°, β = 90.00°, γ = 90.00°
Fractional coordinates of all 10 atoms:
Pm 0.5000 0.2483 0.0000
Pm 0.0000 0.7517 0.0000
Pm 0.5000 0.7517 0.0000
Pm 0.0000 0.2483 0.0000
Pr 0.2500 0.6639 0.3277
Pr 0.7500 0.3361 0.6723
Sm 0.7500 0.7523 0.5045
Sm 0.2500 0.2477 0.4955
Sc 0.2500 0.8484 0.6967
Sc 0.7500 0.1516 0.3033

Calculated values
**Density of states at the Fermi level**: 14.95 states/eV per cell
**Formation enthalpy at 0 K**: 32.9 kJ/mol of atoms
**Uncorrected energy**: -4.73 eV per atom

Record 5
Here is an optimized crystal structure of LaZrIr2 from the Alexandria database. Energies are from PBE.

a = 5.5068 Å, b = 5.5068 Å, c = 5.0829 Å
α = 80.56°, β = 80.56°, γ = 31.94°
Fractional coordinates of all 4 atoms:
Ir 0.0260 0.0260 0.0468
Ir 0.7224 0.7224 0.7083
La 0.4791 0.4791 0.5604
Zr 0.2725 0.2725 0.1846

Calculated values
**Density of states at the Fermi level**: 2.48 states/eV per cell
**Formation enthalpy at 0 K**: -40.5 kJ/mol of atoms
**Uncorrected energy**: -8.22 eV per atom

Record 6
Here is an optimized crystal structure of Tb2Nd4SmHo from the Alexandria database. Energies are from PBE.

a = 3.6370 Å, b = 6.2787 Å, c = 11.9633 Å
α = 79.74°, β = 90.00°, γ = 90.00°
Fractional coordinates of all 8 atoms:
Tb 0.0000 0.0000 0.0000
Tb 0.5000 0.0000 0.5000
Nd 0.0000 0.7508 0.7485
Nd 0.0000 0.2492 0.2515
Nd 0.5000 0.7496 0.2513
Nd 0.5000 0.2504 0.7487
Sm 0.5000 0.5000 0.0000
Ho 0.0000 0.5000 0.5000

Calculated values
**Density of states at the Fermi level**: 10.99 states/eV per cell
**Formation enthalpy at 0 K**: 1.4 kJ/mol of atoms
**Uncorrected energy**: -4.69 eV per atom

Record 7
Here is an optimized crystal structure of ZnIBr2 from the Alexandria database. Energies are from PBE.

a = 7.4189 Å, b = 8.4951 Å, c = 12.8140 Å
α = 90.00°, β = 119.49°, γ = 90.00°
Fractional coordinates of all 16 atoms:
I 0.9965 0.9109 0.3869
I 0.0035 0.9109 0.6131
I 0.9965 0.4109 0.8869
I 0.0035 0.4109 0.1131
Zn 0.2496 0.1671 0.4341
Zn 0.7504 0.1671 0.5659
Zn 0.2496 0.6671 0.9341
Zn 0.7504 0.6671 0.0659
Br 0.0323 0.3932 0.3623
Br 0.9677 0.3932 0.6377
Br 0.0323 0.8932 0.8623
Br 0.9677 0.8932 0.1377
Br 0.5121 0.6443 0.1478
Br 0.4879 0.6443 0.8522
Br 0.5121 0.1443 0.6478
Br 0.4879 0.1443 0.3522

Calculated values
**Density of states at the Fermi level**: 0.00 states/eV per cell
**E above lowest polymorph**: 34.8 meV/atom
**Uncorrected energy**: -2.14 eV per atom

Record 8
Here is an optimized crystal structure of Zn2PdF8 from the Alexandria database. Energies are from PBE.

a = 4.2982 Å, b = 5.8071 Å, c = 5.8071 Å
α = 72.79°, β = 92.05°, γ = 92.05°
Fractional coordinates of all 11 atoms:
Zn 0.7692 0.6208 0.6208
Zn 0.2308 0.3792 0.3792
Pd 0.0000 0.0000 0.0000
F 0.7800 0.9027 0.3057
F 0.2200 0.6943 0.0973
F 0.7155 0.8304 0.8304
F 0.2845 0.1696 0.1696
F 0.7800 0.3057 0.9027
F 0.2200 0.0973 0.6943
F 0.2651 0.5956 0.5956
F 0.7349 0.4044 0.4044

Calculated values
**Uncorrected energy**: -3.84 eV per atom